Entry 1:
A relaxed ScAg3Br crystal. Source: Alexandria, functional PBE.

As for the raw formation energy: 0.78 eV/atom. As for the spin magnetization: 0.64 μB/f.u. The volume is 27.4 Å³ per atom. For the total energy, the calculation gives -2.53 eV/atom. The calculation puts the energy relative to the lowest polymorph listed for this composition at 0.0 meV per atom.

The structure belongs to space group Pm-3m (No. 221); the cell edges are 5.158, 5.158 and 5.158 Å and the angles 90.00°, 90.00° and 90.00°. Symmetry generates all atoms from Sc at (0.000, 0.000, 0.000), Ag at (0.000, 0.500, 0.500) and Br at (0.500, 0.500, 0.500).

---

Entry 2:
A relaxed ScAgBr2 crystal. Source: Alexandria, functional PBE.

As for the raw formation energy: -0.60 eV/atom. As for the spin magnetization: 0.66 μB/f.u. The volume is 30.3 Å³ per atom. For the total energy, the calculation gives -3.73 eV/atom. The calculation puts the energy relative to the lowest polymorph listed for this composition at 271.9 meV per atom.

The structure belongs to space group Cmmm (No. 65); the cell edges are 3.563, 6.201 and 10.955 Å and the angles 90.00°, 90.00° and 90.00°. Symmetry generates all atoms from Sc at (0.000, 0.000, 0.000), Ag at (0.000, 0.000, 0.500) and Br at (0.000, 0.500, 0.179).

---

Entry 3:
A relaxed Sc2AgBr crystal. Source: Alexandria, functional PBE.

As for the raw formation energy: -0.33 eV/atom. As for the spin magnetization: 0.87 μB/f.u. The volume is 21.0 Å³ per atom. For the total energy, the calculation gives -4.62 eV/atom. The calculation puts the energy relative to the lowest polymorph listed for this composition at 156.0 meV per atom.

The structure belongs to space group C2/m (No. 12); the cell edges are 6.687, 7.802 and 3.227 Å and the angles 90.00°, 90.24° and 90.00°. Symmetry generates all atoms from Sc at (0.250, 0.250, 0.000), Ag at (0.000, 0.000, 0.500) and Br at (0.000, 0.500, 0.500).

---

Entry 4:
A relaxed ScAgBr2 crystal. Source: Alexandria, functional PBE.

As for the raw formation energy: -0.45 eV/atom. As for the spin magnetization: 0.84 μB/f.u. The volume is 24.7 Å³ per atom. For the total energy, the calculation gives -3.58 eV/atom. The calculation puts the energy relative to the lowest polymorph listed for this composition at 424.1 meV per atom.

The structure belongs to space group C2/m (No. 12); the cell edges are 6.943, 8.869 and 3.620 Å and the angles 90.00°, 117.54° and 90.00°. Symmetry generates all atoms from Sc at (0.000, 0.000, 0.000), Ag at (0.000, 0.500, 0.000) and Br at (0.250, 0.250, 0.000).

---

Entry 5:
A relaxed ScAgBr2 crystal. Source: Alexandria, functional PBE.

As for the raw formation energy: -0.83 eV/atom. As for the spin magnetization: 0.00 μB/f.u. The volume is 31.4 Å³ per atom. For the total energy, the calculation gives -3.97 eV/atom. The calculation puts the energy relative to the lowest polymorph listed for this composition at 35.5 meV per atom.

The structure belongs to space group Immm (No. 71); the cell edges are 3.471, 5.178 and 13.972 Å and the angles 90.00°, 90.00° and 90.00°. Symmetry generates all atoms from Sc at (0.000, 0.000, 0.000), Ag at (0.000, 0.000, 0.500) and Br at (0.000, 0.500, 0.356).

---

Entry 6:
A relaxed ScAgBr2 crystal. Source: Alexandria, functional PBE.

As for the raw formation energy: -0.79 eV/atom. As for the spin magnetization: 0.00 μB/f.u. The volume is 36.1 Å³ per atom. For the total energy, the calculation gives -3.92 eV/atom. The calculation puts the energy relative to the lowest polymorph listed for this composition at 79.6 meV per atom.

The structure belongs to space group P2/m (No. 10); the cell edges are 5.779, 3.686 and 7.367 Å and the angles 90.00°, 112.99° and 90.00°. Symmetry generates all atoms from Sc at (0.000, 0.000, 0.000), Ag at (0.500, 0.000, 0.000) and Br at (0.139, 0.500, 0.278).

---

> Among the records above, which one has the highest raw formation energy?

ScAg3Br